# V2FeWO8

A relaxed V2FeWO8 crystal (GGA+U, the Alexandria database).

## Properties
The total moment is 4.00 μB/f.u. Its uncorrected energy is -88.5 eV for the cell shown.

Unit cell a=4.6655 b=4.6635 c=5.9050 alpha=89.13 beta=89.13 gamma=90.76
Site moments in Bohr magnetons follow the coordinates.
Fractional positions:
V: 0.5053 0.5053 0.7339  1.46
V: 0.4947 0.4947 0.2661  1.46
Fe: 0.0000 0.0000 0.5000  1.27
W: 0.0000 0.0000 0.0000  0.07
O: 0.1952 0.8045 0.2444  -0.04
O: 0.6987 0.6991 0.0053  -0.02
O: 0.8050 0.1956 0.2444  -0.04
O: 0.8048 0.1955 0.7556  -0.04
O: 0.3013 0.3009 0.9947  -0.02
O: 0.1950 0.8044 0.7556  -0.04
O: 0.7035 0.7041 0.5072  -0.10
O: 0.2965 0.2959 0.4928  -0.10